Entry 1:
## K2AcGeO4 (PBE)

Data for a relaxed structure of K2AcGeO4.

total energy: -46.29 eV for the cell shown
space-group type: No. 82
spin magnetization: 0.0 μB per cell

```
8
Lattice="6.439 -0.592 -0.906 -3.279 5.573 0.906 -3.279 -1.413 5.467" Properties=species:S:1:pos:R:3 pbc="T T T"
K -0.059 3.531 1.593
K 0.000 0.000 0.000
Ge -3.279 2.080 3.187
O -2.386 0.529 3.496
O 1.376 1.146 2.291
O 3.610 2.187 0.665
O -2.839 3.275 4.482
Ac -0.059 0.038 3.873
```

=====

Entry 2:
## KAcGeO3 (PBE)

Data for a relaxed structure of KAcGeO3.

total energy: -74.22 eV for the cell shown
space-group type: No. 11
spin magnetization: 0.0 μB per cell

```
12
Lattice="-3.449 -0.218 -1.125 -1.698 -2.990 5.783 -1.550 10.225 2.767" Properties=species:S:1:pos:R:3 pbc="T T T"
O -4.536 -0.393 5.175
O -2.160 7.410 2.250
O -4.144 5.400 2.848
O -3.191 7.417 5.408
O -3.506 -0.401 2.017
O -2.553 1.616 4.576
Ge -4.608 1.480 5.031
Ge -2.089 5.536 2.394
K -1.755 2.126 2.032
K -4.942 4.890 5.392
Ac -4.468 7.821 3.372
Ac -2.229 -0.805 4.052
```

=====

Entry 3:
## K4Ac3GeO8 (PBE)

Data for a relaxed structure of K4Ac3GeO8.

total energy: -95.44 eV for the cell shown
space-group type: No. 12
spin magnetization: 0.0 μB per cell

```
16
Lattice="7.320 0.000 0.000 0.000 7.556 0.165 -3.660 -3.656 5.619" Properties=species:S:1:pos:R:3 pbc="T T T"
O -2.159 1.527 5.479
O 1.501 2.373 0.304
O 0.000 0.250 3.203
O 5.819 2.373 0.304
O 3.660 3.650 2.580
O 2.159 1.527 5.479
O 3.660 0.332 2.565
O 0.000 3.568 3.218
K 1.830 -1.828 2.809
K 0.000 0.000 0.000
K -1.830 -1.828 2.809
K 3.660 0.000 0.000
Ac 1.830 1.950 2.892
Ac 3.660 3.778 0.082
Ac -1.830 1.950 2.892
Ge 0.000 3.778 0.082
```

=====

Entry 4:
## K4Ac3GeS8 (PBE)

Data for a relaxed structure of K4Ac3GeS8.

total energy: -78.40 eV for the cell shown
space-group type: No. 166
spin magnetization: 0.0 μB per cell

```
16
Lattice="-7.779 -2.211 -2.927 -2.384 -2.523 8.242 2.930 7.999 -1.193" Properties=species:S:1:pos:R:3 pbc="T T T"
Ge -1.192 -1.262 4.121
S -6.063 0.384 3.187
S -6.707 -2.326 0.139
S -0.527 5.590 3.983
S -5.128 1.979 -0.504
S -4.717 4.399 2.406
S -2.517 -1.135 1.716
S -1.171 2.881 0.935
S -2.106 1.285 4.626
K 0.000 0.000 0.000
K 1.465 3.999 -0.596
K -3.890 -1.106 -1.464
K -2.425 2.894 -2.060
Ac 0.273 2.738 3.525
Ac -5.082 -2.367 2.658
Ac -3.617 1.632 2.061
```

=====

Entry 5:
## K2AcGe2S6 (PBE)

Data for a relaxed structure of K2AcGe2S6.

total energy: -50.51 eV for the cell shown
space-group type: No. 12
spin magnetization: 0.0 μB per cell

```
11
Lattice="-2.988 2.747 6.445 5.329 -4.299 -0.197 3.099 7.585 -1.797" Properties=species:S:1:pos:R:3 pbc="T T T"
Ge 1.396 2.487 -0.413
Ge 4.045 3.546 4.864
Ac 0.056 5.166 2.324
S 4.929 -1.725 0.678
S 3.374 -0.295 4.033
S 2.149 3.859 3.852
S 0.512 7.758 3.773
S 3.292 2.174 0.599
S 2.067 6.328 0.418
K 0.406 1.221 4.168
K 5.035 4.811 0.283
```

=====

Entry 6:
## KAcGeS4 (PBE)

Data for a relaxed structure of KAcGeS4.

total energy: -71.14 eV for the cell shown
space-group type: No. 11
spin magnetization: 0.0 μB per cell

```
14
Lattice="6.894 0.000 0.080 0.000 6.765 0.000 -2.599 0.000 8.580" Properties=species:S:1:pos:R:3 pbc="T T T"
S 1.844 1.691 7.283
S 4.974 6.723 6.312
S 3.058 1.691 3.789
S -0.679 0.043 2.348
S 4.974 3.425 6.312
S 1.237 5.074 4.871
S -0.679 3.340 2.348
S 2.451 5.074 1.377
K 1.680 1.691 0.573
K 2.616 5.074 8.086
Ac 4.108 5.074 3.878
Ac 0.188 1.691 4.781
Ge 3.616 1.691 5.972
Ge 0.679 5.074 2.688
```

=====

Entry 7:
## K3Ac3GeSe8 (PBE)

Data for a relaxed structure of K3Ac3GeSe8.

total energy: -68.87 eV for the cell shown
space-group type: No. 166
spin magnetization: 0.0 μB per cell

```
15
Lattice="8.869 0.000 0.000 -4.435 7.683 -0.031 0.000 -5.091 7.876" Properties=species:S:1:pos:R:3 pbc="T T T"
K -2.217 3.841 -0.015
K 2.217 3.841 -0.015
K 0.000 0.000 0.000
Se -2.521 4.038 5.448
Se 1.913 -1.446 2.398
Se 0.000 -0.331 5.464
Se 2.522 4.038 5.448
Se 4.435 0.022 5.652
Se 6.956 -1.446 2.398
Se 0.000 2.570 2.194
Se 4.435 2.923 2.382
Ac 2.217 1.296 3.923
Ac -2.217 1.296 3.923
Ac 4.435 -2.546 3.938
Ge 0.000 -2.546 3.938
```

=====

Entry 8:
## KAcGeSe3 (PBE)

Data for a relaxed structure of KAcGeSe3.

total energy: -55.48 eV for the cell shown
space-group type: No. 11
spin magnetization: 0.0 μB per cell

```
12
Lattice="-1.113 -4.118 0.217 0.030 -0.468 -8.731 10.790 -2.760 2.971" Properties=species:S:1:pos:R:3 pbc="T T T"
Se 1.750 -4.179 -7.281
Se 4.344 -2.526 -4.644
Se 9.207 -3.728 -2.517
Se 7.958 -3.167 1.739
Se 5.363 -4.820 -0.899
Se 0.500 -3.617 -3.026
Ac 8.311 -5.581 -0.237
Ac 1.397 -1.764 -5.306
Ge 3.925 -4.710 -6.203
Ge 5.783 -2.636 0.660
K 6.762 -5.371 -4.189
K 2.946 -1.975 -1.354
```

=====

Entry 9:
## K2AcGeSe4 (PBE)

Data for a relaxed structure of K2AcGeSe4.

total energy: -67.24 eV for the cell shown
space-group type: No. 74
spin magnetization: 0.0 μB per cell

```
16
Lattice="8.889 -0.003 -0.259 -0.010 8.889 -0.259 -4.544 -4.547 6.543" Properties=species:S:1:pos:R:3 pbc="T T T"
Ac -4.549 -0.103 6.414
Ac -2.277 2.171 3.142
Se 4.244 0.189 3.079
Se 4.196 4.136 3.202
Se 1.966 2.030 0.189
Se 2.369 2.308 5.836
Se 0.091 4.149 2.946
Se -2.572 2.266 6.218
Se 0.139 0.202 2.823
Se 6.907 2.072 -0.193
Ge 4.344 -4.551 6.284
Ge 2.167 2.169 3.013
K 4.440 4.443 -0.259
K 6.616 -2.277 3.013
K 4.444 -0.002 -0.130
K 2.172 -2.275 3.142
```

=====

Entry 10:
## K4Ac3GeSe8 (PBE)

Data for a relaxed structure of K4Ac3GeSe8.

total energy: -72.40 eV for the cell shown
space-group type: No. 166
spin magnetization: 0.0 μB per cell

```
16
Lattice="8.921 0.000 0.000 0.000 9.302 0.258 -4.461 -4.457 6.314" Properties=species:S:1:pos:R:3 pbc="T T T"
Se 4.461 0.252 3.573
Se 2.056 2.655 0.173
Se 0.000 0.273 3.346
Se 6.865 2.655 0.173
Se 0.000 4.593 2.998
Se 4.461 4.572 3.226
Se -2.405 2.190 6.398
Se 2.405 2.190 6.398
K 2.230 -2.228 3.157
K -2.230 -2.228 3.157
K 4.461 0.000 0.000
K 0.000 0.000 0.000
Ac 4.461 4.651 0.129
Ac 2.230 2.422 3.286
Ac -2.230 2.422 3.286
Ge 0.000 4.651 0.129
```

=====

Entry 11:
## KAcTlGe (PBE)

Data for a relaxed structure of KAcTlGe.

total energy: -12.81 eV for the cell shown
space-group type: No. 216
spin magnetization: 0.0 μB per cell

```
4
Lattice="5.688 0.000 0.000 2.844 4.926 0.000 2.844 1.642 4.644" Properties=species:S:1:pos:R:3 pbc="T T T"
Ge 5.688 3.284 2.322
K 2.844 1.642 1.161
Tl 0.000 0.000 0.000
Ac 8.531 4.926 3.483
```

=====

Entry 12:
## AcLa2Ge (PBE)

Data for a relaxed structure of AcLa2Ge.

total energy: -19.83 eV for the cell shown
space-group type: No. 123
spin magnetization: 0.0 μB per cell

```
4
Lattice="5.058 0.000 0.000 0.000 4.960 0.000 0.000 0.000 4.960" Properties=species:S:1:pos:R:3 pbc="T T T"
La 0.000 2.480 0.000
La 0.000 0.000 2.480
Ac 2.529 2.480 2.480
Ge 2.529 0.000 0.000
```